VASP calculation (PBE-GGA) on an optimized crystal structure of Li4HoAg.

Results
ΔE_f   2.8 kJ per mole of atoms
Calculated total energy   -2.49 eV/atom
Magnetization   0.17 μB per atom
Calculated volume   445.87 Å³/cell
Crystal system   cubic
N(E_F)   21.7 states/eV/cell

Unit cell a=7.6396 b=7.6396 c=7.6396 alpha=90.00 beta=90.00 gamma=90.00
Space group F-43m (No. 216)
Asymmetric unit:
1 Li 0.1229 0.1229 0.3771 x16
2 Ho 0.0000 0.0000 0.0000 x4
3 Ag 0.2500 0.2500 0.7500 x4